A geometry-optimized RbMg14Zn structure. Source: Alexandria via LeMat-Bulk, functional PBE-GGA.

Unit cell a=10.673 b=6.573 c=6.573 alpha=58.62 beta=90.00 gamma=90.00
Sites, in units of the cell vectors:
1 Rb 0.000 0.000 0.000
2 Mg 0.000 0.496 0.996
3 Mg 0.000 0.996 0.496
4 Mg 0.231 0.634 0.634
5 Mg 0.260 0.142 0.633
6 Mg 0.260 0.633 0.142
7 Mg 0.270 0.147 0.147
8 Mg 0.500 0.475 0.475
9 Mg 0.500 0.482 0.966
10 Mg 0.500 0.966 0.482
11 Mg 0.500 0.974 0.974
12 Mg 0.730 0.147 0.147
13 Mg 0.740 0.142 0.633
14 Mg 0.740 0.633 0.142
15 Mg 0.769 0.634 0.634
16 Zn 0.000 0.458 0.458

Calculated values
The value obtained for the distance to the lowest polymorph of the same formula is 0 meV per atom. The space group is No. 38. The value obtained for the size of the total moment is 0.000 μB/f.u. As for the electronic total energy: -1.41 eV per atom. The value obtained for the formation energy is 192.7 kJ/mol of formula units.


A geometry-optimized RbMg14Zn structure. Source: Alexandria via LeMat-Bulk, functional PBE-GGA.

Unit cell a=6.486 b=6.486 c=10.763 alpha=90.00 beta=90.00 gamma=120.00
Sites, in units of the cell vectors:
1 Rb 0.000 0.000 0.000
2 Mg 0.010 0.505 0.000
3 Mg 0.168 0.336 0.270
4 Mg 0.168 0.336 0.730
5 Mg 0.168 0.832 0.270
6 Mg 0.168 0.832 0.730
7 Mg 0.495 0.505 0.000
8 Mg 0.495 0.990 0.000
9 Mg 0.504 0.008 0.500
10 Mg 0.504 0.496 0.500
11 Mg 0.664 0.832 0.270
12 Mg 0.664 0.832 0.730
13 Mg 0.667 0.333 0.239
14 Mg 0.667 0.333 0.761
15 Mg 0.992 0.496 0.500
16 Zn 0.000 0.000 0.500

Calculated values
The value obtained for the distance to the lowest polymorph of the same formula is 11 meV per atom. The space group is No. 187. The value obtained for the size of the total moment is 0.000 μB/f.u. As for the electronic total energy: -1.40 eV per atom. The value obtained for the formation energy is 209.5 kJ/mol of formula units.


A geometry-optimized RbMg2Zn structure. Source: Alexandria via LeMat-Bulk, functional PBE-GGA.

Unit cell a=10.924 b=10.924 c=10.924 alpha=20.34 beta=20.34 gamma=20.34
Sites, in units of the cell vectors:
1 Rb 0.000 0.000 0.000
2 Mg 0.116 0.116 0.116
3 Mg 0.884 0.884 0.884
4 Zn 0.500 0.500 0.500

Calculated values
The space group is No. 166. The value obtained for the size of the total moment is 0.000 μB/f.u. As for the electronic total energy: -1.03 eV per atom. The value obtained for the formation energy is 127.4 kJ/mol of formula units.


A geometry-optimized Rb3MgZn structure. Source: Alexandria via LeMat-Bulk, functional PBE-GGA.

Unit cell a=6.809 b=6.809 c=6.809 alpha=90.00 beta=90.00 gamma=90.00
Sites, in units of the cell vectors:
1 Rb 0.000 0.000 0.500
2 Rb 0.000 0.500 0.000
3 Rb 0.500 0.000 0.000
4 Mg 0.500 0.500 0.500
5 Zn 0.000 0.000 0.000

Calculated values
The value obtained for the distance to the lowest polymorph of the same formula is 0 meV per atom. The space group is No. 221. The value obtained for the size of the total moment is 0.000 μB/f.u. As for the electronic total energy: -0.84 eV per atom. The value obtained for the formation energy is 151.0 kJ/mol of formula units.


A geometry-optimized Rb2MgZn2 structure. Source: Alexandria via LeMat-Bulk, functional PBE-GGA.

Unit cell a=6.453 b=6.453 c=6.453 alpha=113.06 beta=113.06 gamma=102.51
Sites, in units of the cell vectors:
1 Rb 0.250 0.750 0.500
2 Rb 0.750 0.250 0.500
3 Mg 0.000 0.000 0.000
4 Zn 0.345 0.345 0.000
5 Zn 0.655 0.655 0.000

Calculated values
The value obtained for the distance to the lowest polymorph of the same formula is 58 meV per atom. The space group is No. 139. The value obtained for the size of the total moment is 0.000 μB/f.u. As for the electronic total energy: -0.97 eV per atom. The value obtained for the formation energy is 119.1 kJ/mol of formula units.


A geometry-optimized RbMg2Zn structure. Source: Alexandria via LeMat-Bulk, functional PBE-GGA.

Unit cell a=9.820 b=9.820 c=9.820 alpha=143.57 beta=143.57 gamma=52.47
Sites, in units of the cell vectors:
1 Rb 0.375 0.625 0.750
2 Rb 0.625 0.375 0.250
3 Mg 0.000 0.000 0.000
4 Mg 0.000 0.000 0.500
5 Mg 0.000 0.500 0.000
6 Mg 0.500 0.000 0.500
7 Zn 0.125 0.875 0.250
8 Zn 0.875 0.125 0.750

Calculated values
The space group is No. 141. The value obtained for the size of the total moment is 0.000 μB/f.u. As for the electronic total energy: -1.06 eV per atom. The value obtained for the formation energy is 114.1 kJ/mol of formula units.


A geometry-optimized RbMgZn2 structure. Source: Alexandria via LeMat-Bulk, functional PBE-GGA.

Unit cell a=10.316 b=10.316 c=10.316 alpha=149.53 beta=149.53 gamma=43.63
Sites, in units of the cell vectors:
1 Rb 0.375 0.625 0.750
2 Rb 0.625 0.375 0.250
3 Mg 0.125 0.875 0.250
4 Mg 0.875 0.125 0.750
5 Zn 0.000 0.000 0.000
6 Zn 0.000 0.000 0.500
7 Zn 0.000 0.500 0.000
8 Zn 0.500 0.000 0.500

Calculated values
The space group is No. 141. The value obtained for the size of the total moment is 0.000 μB/f.u. As for the electronic total energy: -1.05 eV per atom. The value obtained for the formation energy is 86.5 kJ/mol of formula units.


A geometry-optimized RbMgZn3 structure. Source: Alexandria via LeMat-Bulk, functional PBE-GGA.

Unit cell a=6.547 b=6.547 c=6.547 alpha=90.00 beta=90.00 gamma=90.00
Sites, in units of the cell vectors:
1 Rb 0.000 0.000 0.000
2 Mg 0.500 0.500 0.500
3 Zn 0.000 0.000 0.500
4 Zn 0.000 0.500 0.000
5 Zn 0.500 0.000 0.000

Calculated values
The value obtained for the distance to the lowest polymorph of the same formula is 582 meV per atom. The space group is No. 221. The value obtained for the size of the total moment is 0.000 μB/f.u. As for the electronic total energy: -0.39 eV per atom. The value obtained for the formation energy is 428.4 kJ/mol of formula units.


A geometry-optimized Rb2MgZr structure. Source: Alexandria via LeMat-Bulk, functional PBE-GGA.

Unit cell a=8.143 b=8.143 c=8.143 alpha=99.89 beta=99.89 gamma=131.04
Sites, in units of the cell vectors:
1 Rb 0.100 0.625 0.975
2 Rb 0.375 0.350 0.475
3 Rb 0.650 0.125 0.025
4 Rb 0.875 0.900 0.525
5 Mg 0.000 0.000 0.000
6 Mg 0.750 0.250 0.500
7 Zr 0.250 0.750 0.500
8 Zr 0.500 0.500 0.000

Calculated values
The space group is No. 122. The value obtained for the size of the total moment is 3.427 μB/f.u. As for the electronic total energy: -1.90 eV per atom. The value obtained for the formation energy is 431.5 kJ/mol of formula units.


A geometry-optimized RbMgZr3 structure. Source: Alexandria via LeMat-Bulk, functional PBE-GGA.

Unit cell a=5.094 b=5.094 c=5.094 alpha=90.00 beta=90.00 gamma=90.00
Sites, in units of the cell vectors:
1 Rb 0.000 0.000 0.000
2 Mg 0.500 0.500 0.500
3 Zr 0.000 0.000 0.500
4 Zr 0.000 0.500 0.000
5 Zr 0.500 0.000 0.000

Calculated values
The value obtained for the distance to the lowest polymorph of the same formula is 542 meV per atom. The space group is No. 221. The value obtained for the size of the total moment is 0.975 μB/f.u. As for the electronic total energy: -3.74 eV per atom. The value obtained for the formation energy is 917.2 kJ/mol of formula units.


A geometry-optimized RbMgZr3 structure. Source: Alexandria via LeMat-Bulk, functional PBE-GGA.

Unit cell a=5.366 b=5.366 c=5.366 alpha=90.00 beta=90.00 gamma=90.00
Sites, in units of the cell vectors:
1 Rb 0.000 0.000 0.000
2 Mg 0.500 0.500 0.500
3 Zr 0.000 0.500 0.500
4 Zr 0.500 0.000 0.500
5 Zr 0.500 0.500 0.000

Calculated values
The value obtained for the distance to the lowest polymorph of the same formula is 0 meV per atom. The space group is No. 221. The value obtained for the size of the total moment is 0.001 μB/f.u. As for the electronic total energy: -4.28 eV per atom. The value obtained for the formation energy is 655.5 kJ/mol of formula units.


A geometry-optimized Mg3Re structure. Source: Alexandria via LeMat-Bulk, functional PBE-GGA.

Unit cell a=5.115 b=5.115 c=5.115 alpha=132.84 beta=132.84 gamma=68.90
Sites, in units of the cell vectors:
1 Mg 0.000 0.000 0.000
2 Mg 0.250 0.750 0.500
3 Mg 0.750 0.250 0.500
4 Re 0.500 0.500 0.000

Calculated values
The value obtained for the distance to the lowest polymorph of the same formula is 207 meV per atom. The space group is No. 139. The value obtained for the size of the total moment is 0.000 μB/f.u. As for the electronic total energy: -3.92 eV per atom. The value obtained for the formation energy is 150.6 kJ/mol of formula units.